Below is a relaxed structure of Na2Ga2MoO6, with properties calculated at the PBE with a Hubbard U level.

Properties
The calculation puts the total energy at -5.89 eV/atom. The symmetry is P-31m (162).

Cell lengths 5.2607, 5.2607, 5.6908 Å; angles 90.00, 90.00, 120.00 degrees
Fractional positions:
Na1 0.3333 0.6667 0.0000
Na2 0.6667 0.3333 0.0000
Ga1 0.3333 0.6667 0.5000
Ga2 0.6667 0.3333 0.5000
Mo1 0.0000 0.0000 0.5000
O1 0.0000 0.3424 0.6883
O2 0.0000 0.6576 0.3117
O3 0.3424 0.0000 0.6883
O4 0.3424 0.3424 0.3117
O5 0.6576 0.0000 0.3117
O6 0.6576 0.6576 0.6883